The following is a DFT calculation (PBE) of an optimized crystal structure of Ti5Mn4Fe.

Unit cell a=2.9792 b=2.9792 c=14.9351 alpha=90.00 beta=90.00 gamma=90.00
With the nearest neighbours (Å) after each atom.
Fractional positions:
Ti 0.0000 0.0000 0.0000  8 Mn 2.58
Ti 0.0000 0.0000 0.2014  8 Mn 2.58-2.59
Ti 0.0000 0.0000 0.4009  4 Fe 2.57, 4 Mn 2.58
Ti 0.0000 0.0000 0.5991  4 Fe 2.57, 4 Mn 2.58
Ti 0.0000 0.0000 0.7986  8 Mn 2.58-2.59
Mn 0.5000 0.5000 0.1002  8 Ti 2.58-2.59
Mn 0.5000 0.5000 0.3009  8 Ti 2.58
Mn 0.5000 0.5000 0.6991  8 Ti 2.58
Mn 0.5000 0.5000 0.8998  8 Ti 2.58-2.59
Fe 0.5000 0.5000 0.5000  8 Ti 2.57

Total magnetization, μB/f.u.: 2.92
Total DFT energy (no corrections), eV/atom: -8.741
Space group: No. 123
DFT formation energy, meV/atom: -279
Mass density, Mg/m³: 6.45